Computed, not measured: a relaxed CoPS crystal at the GGA-PBEsol level of DFT.

Lattice parameters (Å, degrees): 5.3390 5.3390 5.3390 90.00 90.00 90.00
With the nearest neighbours (Å) after each atom.
Space group P2_13 (No. 198)
Asymmetric unit:
Co 0.0011 0.0011 0.0011 (multiplicity 4)  3 P 2.22, 3 S 2.23
P 0.1164 0.8836 0.3836 (multiplicity 4)  1 S 2.16, 3 Co 2.22
S 0.1174 0.6174 0.8826 (multiplicity 4)  1 P 2.16, 3 Co 2.23

Computed properties:
The uncorrected formation energy is -0.69 eV per atom.

***

Computed, not measured: a relaxed CoSnPS2 crystal at the GGA-PBEsol level of DFT.

Lattice parameters (Å, degrees): 4.8940 4.8940 4.9189 90.00 90.00 90.00
With the nearest neighbours (Å) after each atom.
Space group P4/mmm (No. 123)
Asymmetric unit:
Co 0.0000 0.0000 0.0000 (multiplicity 1)  4 P 3.46, 8 S 3.47
Sn 0.5000 0.5000 0.5000 (multiplicity 1)  4 S 2.45, 2 P 2.46
P 0.5000 0.5000 0.0000 (multiplicity 1)  2 Sn 2.46
S 0.0000 0.5000 0.5000 (multiplicity 2)  2 Sn 2.45

Computed properties:
The uncorrected formation energy is 1.27 eV per atom.

***

Computed, not measured: a relaxed CoSb2P crystal at the GGA-PBEsol level of DFT.

Lattice parameters (Å, degrees): 7.0760 3.4210 6.5407 90.00 100.25 90.00
With the nearest neighbours (Å) after each atom.
Space group Cm (No. 8)
Asymmetric unit:
Co 0.0000 0.0000 0.0000 (multiplicity 2)  3 P 2.20-2.23
Sb 0.2289 0.5000 0.2496 (multiplicity 2)  3 Co 2.70-2.73, 2 P 2.78
Sb 0.4866 0.0000 0.6468 (multiplicity 2)  1 P 2.51
P 0.2950 0.0000 0.9350 (multiplicity 2)  3 Co 2.20-2.23

Computed properties:
The uncorrected formation energy is -0.03 eV per atom.

***

Computed, not measured: a relaxed CoSb2P crystal at the GGA-PBEsol level of DFT.

Lattice parameters (Å, degrees): 3.6246 3.6246 19.5512 90.00 90.00 120.00
With the nearest neighbours (Å) after each atom.
Space group R-3m (No. 166, hexagonal axes)
Asymmetric unit:
Co 0.0000 0.0000 0.0000 (multiplicity 3)  6 Sb 2.56
Sb 0.0000 0.0000 0.2580 (multiplicity 6)  3 Co 2.56, 3 P 2.75
P 0.0000 0.0000 0.5000 (multiplicity 3)  6 Sb 2.75

Computed properties:
The uncorrected formation energy is 0.14 eV per atom.

***

Computed, not measured: a relaxed CoSbP crystal at the GGA-PBEsol level of DFT.

Lattice parameters (Å, degrees): 5.9708 5.9708 5.9708 90.00 90.00 90.00
With the nearest neighbours (Å) after each atom.
Space group F-43m (No. 216)
Asymmetric unit:
Co 0.0000 0.0000 0.0000 (multiplicity 4)  4 P 2.59
Sb 0.0000 0.0000 0.5000 (multiplicity 4)  4 P 2.59
P 0.2500 0.2500 0.2500 (multiplicity 4)  4 Co 2.59, 4 Sb 2.59

Computed properties:
The energy above the most stable polymorph in this dataset is 294 kJ/mol of formula units. The uncorrected formation energy is 0.57 eV per atom.

***

Computed, not measured: a relaxed CoSbP crystal at the GGA-PBEsol level of DFT.

Lattice parameters (Å, degrees): 5.8932 5.9366 10.8233 90.00 90.00 90.00
With the nearest neighbours (Å) after each atom.
Space group Pbca (No. 61)
Asymmetric unit:
Co 0.0145 0.1153 0.1012 (multiplicity 8)  3 P 2.19-2.21
Sb 0.1204 0.0001 0.3239 (multiplicity 8)  3 Co 2.55-2.58, 1 P 2.56
P 0.1515 0.7257 0.5691 (multiplicity 8)  3 Co 2.19-2.21

Computed properties:
The energy above the most stable polymorph in this dataset is 0 kJ/mol of formula units. The uncorrected formation energy is -0.45 eV per atom.

***

Computed, not measured: a relaxed CoSb2P crystal at the GGA-PBEsol level of DFT.

Lattice parameters (Å, degrees): 3.0812 4.5374 10.9534 90.00 90.00 90.00
With the nearest neighbours (Å) after each atom.
Space group Imm2 (No. 44)
Asymmetric unit:
Co 0.0000 0.0000 0.0000 (multiplicity 2)  2 P 2.20
Sb 0.0000 0.0000 0.4822 (multiplicity 2)  4 Co 2.75, 2 P 2.88
Sb 0.0000 0.5000 0.2886 (multiplicity 2)  2 Co 2.78, 4 Sb 3.08-3.10
P 0.0000 0.5000 0.6437 (multiplicity 2)  2 Co 2.20

Computed properties:
The uncorrected formation energy is 0.15 eV per atom.

***

Computed, not measured: a relaxed ScCoP crystal at the GGA-PBEsol level of DFT.

Lattice parameters (Å, degrees): 6.1963 3.7078 6.9028 90.00 90.00 90.00
With the nearest neighbours (Å) after each atom.
Space group Pnma (No. 62)
Asymmetric unit:
Sc 0.0161 0.2500 0.1848 (multiplicity 4)  5 P 2.64-2.65, 6 Co 2.72-2.92
Co 0.1463 0.2500 0.5615 (multiplicity 4)  4 P 2.26-2.39
P 0.2196 0.7500 0.3855 (multiplicity 4)  4 Co 2.26-2.39

Computed properties:
The calculated total energy is -95.3 eV/cell.

***

Computed, not measured: a relaxed ScCoP2 crystal at the GGA-PBEsol level of DFT.

Lattice parameters (Å, degrees): 3.4301 3.6105 4.6950 90.00 90.00 90.00
With the nearest neighbours (Å) after each atom.
Space group Pmmm (No. 47)
Asymmetric unit:
Sc 0.0000 0.0000 0.0000 (multiplicity 1)  8 P 2.74, 4 Co 2.91
Co 0.5000 0.0000 0.5000 (multiplicity 1)  4 P 2.17
P 0.5000 0.5000 0.2433 (multiplicity 2)  2 Co 2.17, 2 P 2.28-2.41

Computed properties:
The calculated total energy is -29.3 eV/cell.

***

Computed, not measured: a relaxed ScCo4P crystal at the GGA-PBEsol level of DFT.

Lattice parameters (Å, degrees): 6.5917 6.5917 6.5917 90.00 90.00 90.00
With the nearest neighbours (Å) after each atom.
Space group F-43m (No. 216)
Asymmetric unit:
Sc 0.0000 0.0000 0.0000 (multiplicity 4)  12 Co 2.73, 4 P 2.85
Co 0.1245 0.1245 0.3755 (multiplicity 16)  6 Co 2.32-2.34
P 0.2500 0.2500 0.7500 (multiplicity 4)  12 Co 2.73, 4 Sc 2.85

Computed properties:
The calculated total energy is -176.1 eV/cell.

***

Computed, not measured: a relaxed Sc2CoP crystal at the GGA-PBEsol level of DFT.

Lattice parameters (Å, degrees): 3.7379 3.5529 9.6185 90.00 90.00 90.00
With the nearest neighbours (Å) after each atom.
Space group Amm2 (No. 38)
Asymmetric unit:
Sc 0.0000 0.0000 0.0000 (multiplicity 2)  4 Co 2.67, 3 P 2.70-2.77
Sc 0.5000 0.0000 0.2834 (multiplicity 2)  4 P 2.67, 3 Co 2.71-2.76
Co 0.5000 0.0000 0.5701 (multiplicity 2)  2 P 2.31
P 0.0000 0.0000 0.7119 (multiplicity 2)  2 Co 2.31

Computed properties:
The calculated total energy is -61.3 eV/cell.

***

Computed, not measured: a relaxed CoPSe crystal at the GGA-PBEsol level of DFT.

Lattice parameters (Å, degrees): 5.5193 5.5193 5.5193 90.00 90.00 90.00
With the nearest neighbours (Å) after each atom.
Space group P2_13 (No. 198)
Asymmetric unit:
Co 0.0112 0.0112 0.0112 (multiplicity 4)  3 P 2.24, 3 Se 2.35
P 0.1200 0.8800 0.3800 (multiplicity 4)  3 Co 2.24, 1 Se 2.32
Se 0.1225 0.6225 0.8775 (multiplicity 4)  1 P 2.32, 3 Co 2.35

Computed properties:
The uncorrected formation energy is -0.53 eV per atom.

***

Computed, not measured: a relaxed CoPSe crystal at the GGA-PBEsol level of DFT.

Lattice parameters (Å, degrees): 3.2993 3.2993 4.7264 90.00 90.00 120.00
With the nearest neighbours (Å) after each atom.
Space group P3m1 (No. 156)
Asymmetric unit:
Co 0.0000 0.0000 0.0000 (multiplicity 1)  3 P 2.19, 3 Se 2.39
P 0.6667 0.3333 0.7715 (multiplicity 1)  3 Co 2.19
Se 0.3333 0.6667 0.3043 (multiplicity 1)  3 Co 2.39

Computed properties:
The uncorrected formation energy is -0.20 eV per atom.

***

Computed, not measured: a relaxed Co2PSe2 crystal at the GGA-PBEsol level of DFT.

Lattice parameters (Å, degrees): 3.8631 3.8631 10.0738 90.00 90.00 90.00
With the nearest neighbours (Å) after each atom.
Space group I4/mmm (No. 139)
Asymmetric unit:
Co 0.0000 0.0000 0.1143 (multiplicity 4)  1 Co 2.30, 4 Se 2.37
P 0.0000 0.0000 0.5000 (multiplicity 2)  8 Co 2.96, 8 Se 3.17
Se 0.0000 0.5000 0.2500 (multiplicity 4)  4 Co 2.37

Computed properties:
The uncorrected formation energy is 0.44 eV per atom.

***

Computed, not measured: a relaxed Co2PSe crystal at the GGA-PBEsol level of DFT.

Lattice parameters (Å, degrees): 5.7069 5.8452 2.9015 90.00 90.00 90.00
With the nearest neighbours (Å) after each atom.
Space group Cmmm (No. 65)
Asymmetric unit:
Co 0.2500 0.2500 0.0000 (multiplicity 4)  4 Se 2.51, 4 P 2.51
P 0.0000 0.0000 0.5000 (multiplicity 2)  8 Co 2.51
Se 0.0000 0.5000 0.5000 (multiplicity 2)  8 Co 2.51

Computed properties:
The uncorrected formation energy is 0.09 eV per atom.

***

Computed, not measured: a relaxed CoPSe crystal at the GGA-PBEsol level of DFT.

Lattice parameters (Å, degrees): 5.5217 5.5952 11.0582 90.00 90.00 90.00
With the nearest neighbours (Å) after each atom.
Space group Pbca (No. 61)
Asymmetric unit:
Co 0.0126 0.1798 0.1210 (multiplicity 8)  3 P 2.19-2.22, 3 Se 2.34-2.39
P 0.1303 0.6787 0.5641 (multiplicity 8)  3 Co 2.19-2.22, 1 Se 2.34
Se 0.1193 0.0684 0.3224 (multiplicity 8)  1 P 2.34, 3 Co 2.34-2.39

Computed properties:
The uncorrected formation energy is -0.56 eV per atom.

***

Computed, not measured: a relaxed Co2PSe crystal at the GGA-PBEsol level of DFT.

Lattice parameters (Å, degrees): 2.7554 2.7554 6.3526 90.00 90.00 90.00
With the nearest neighbours (Å) after each atom.
Space group P4/mmm (No. 123)
Asymmetric unit:
Co 0.0000 0.0000 0.1955 (multiplicity 2)  4 P 2.31, 1 Co 2.48
P 0.5000 0.5000 0.0000 (multiplicity 1)  8 Co 2.31
Se 0.5000 0.5000 0.5000 (multiplicity 1)  8 Co 2.75, 4 Se 2.76

Computed properties:
The uncorrected formation energy is -0.09 eV per atom.

***

Computed, not measured: a relaxed CoSiP2 crystal at the GGA-PBEsol level of DFT.

Lattice parameters (Å, degrees): 2.5645 4.2828 4.4694 90.00 90.00 90.00
With the nearest neighbours (Å) after each atom.
Space group Pmmm (No. 47)
Asymmetric unit:
Co 0.0000 0.0000 0.0000 (multiplicity 1)  4 Si 2.50, 2 Co 2.56, 4 P 2.58
Si 0.5000 0.5000 0.0000 (multiplicity 1)  4 Co 2.50, 2 Si 2.56, 4 P 2.58
P 0.0000 0.5000 0.5000 (multiplicity 1)  6 P 2.50-2.56, 4 Si 2.58
P 0.5000 0.0000 0.5000 (multiplicity 1)  6 P 2.50-2.56, 4 Co 2.58

Computed properties:
The uncorrected formation energy is 0.31 eV per atom.

***

Computed, not measured: a relaxed CoSiP2 crystal at the GGA-PBEsol level of DFT.

Lattice parameters (Å, degrees): 6.4655 3.4666 5.6908 90.00 119.63 90.00
With the nearest neighbours (Å) after each atom.
Space group Cm (No. 8)
Asymmetric unit:
Co 0.0000 0.0000 0.0000 (multiplicity 2)  4 P 2.16-2.34, 3 Si 2.37-2.38
Si 0.2800 0.5000 0.2311 (multiplicity 2)  1 P 2.29, 3 Co 2.37-2.38
P 0.1753 0.5000 0.5611 (multiplicity 2)  1 Si 2.29, 2 P 2.34, 1 Co 2.34
P 0.2632 0.0000 0.8718 (multiplicity 2)  3 Co 2.16-2.19, 2 P 2.34

Computed properties:
The uncorrected formation energy is -0.12 eV per atom.

***

Computed, not measured: a relaxed Co3SiP crystal at the GGA-PBEsol level of DFT.

Lattice parameters (Å, degrees): 4.0369 4.0369 4.0369 90.00 90.00 90.00
With the nearest neighbours (Å) after each atom.
Space group Pm-3m (No. 221)
Asymmetric unit:
Co 0.0000 0.0000 0.5000 (multiplicity 3)  2 P 2.02
Si 0.5000 0.5000 0.5000 (multiplicity 1)  12 Co 2.85
P 0.0000 0.0000 0.0000 (multiplicity 1)  6 Co 2.02

Computed properties:
The energy above the most stable polymorph in this dataset is 0 kJ/mol of formula units. The uncorrected formation energy is 0.34 eV per atom.

***

Computed, not measured: a relaxed Co2SiP crystal at the GGA-PBEsol level of DFT.

Lattice parameters (Å, degrees): 3.5984 3.8114 6.1974 90.00 90.00 90.00
With the nearest neighbours (Å) after each atom.
Space group Immm (No. 71)
Asymmetric unit:
Co 0.0000 0.0000 0.2145 (multiplicity 4)  2 P 2.24, 2 Si 2.32
Si 0.0000 0.5000 0.0000 (multiplicity 2)  8 Co 2.32-2.52
P 0.0000 0.5000 0.5000 (multiplicity 2)  4 Co 2.24

Computed properties:
The uncorrected formation energy is -0.33 eV per atom.

***

Computed, not measured: a relaxed Sm2Co12P7 crystal at the GGA-PBEsol level of DFT.

Lattice parameters (Å, degrees): 8.9402 8.9402 3.5594 90.00 90.00 120.00
With the nearest neighbours (Å) after each atom.
Space group P-6 (No. 174)
Asymmetric unit:
Sm 0.0000 0.0000 0.0000 (multiplicity 1)  6 P 2.83, 9 Co 2.90-3.09
Sm 0.3333 0.6667 0.5000 (multiplicity 1)  6 P 2.85, 12 Co 2.93-3.15
Co 0.0411 0.2746 0.5000 (multiplicity 3)  4 P 2.24-2.26, 1 Co 2.47
Co 0.0996 0.7146 0.0000 (multiplicity 3)  4 P 2.24-2.31
Co 0.4347 0.2044 0.0000 (multiplicity 3)  3 P 2.20-2.41
Co 0.5151 0.4534 0.5000 (multiplicity 3)  4 P 2.11-2.25
P 0.0659 0.4406 0.0000 (multiplicity 3)  7 Co 2.20-2.31
P 0.2638 0.2235 0.5000 (multiplicity 3)  7 Co 2.16-2.41
P 0.6667 0.3333 0.5000 (multiplicity 1)  3 Co 2.11

Computed properties:
The calculated total energy is -161.7 eV/cell.

***

Computed, not measured: a relaxed SrCo2P2 crystal at the GGA-PBEsol level of DFT.

Lattice parameters (Å, degrees): 3.7270 3.7270 11.4339 90.00 90.00 90.00
With the nearest neighbours (Å) after each atom.
Space group I4/mmm (No. 139)
Asymmetric unit:
Sr 0.0000 0.0000 0.0000 (multiplicity 2)  8 P 3.14, 8 Co 3.41
Co 0.0000 0.5000 0.2500 (multiplicity 4)  4 P 2.19
P 0.0000 0.0000 0.3503 (multiplicity 4)  4 Co 2.19

Computed properties:
The calculated total energy is -66.7 eV/cell.

***

Computed, not measured: a relaxed TaCoP4 crystal at the GGA-PBEsol level of DFT.

Lattice parameters (Å, degrees): 6.8113 6.8113 6.8113 90.00 90.00 90.00
With the nearest neighbours (Å) after each atom.
Space group F-43m (No. 216)
Asymmetric unit:
Ta 0.0000 0.0000 0.0000 (multiplicity 4)  12 P 2.83, 4 Co 2.95
Co 0.2500 0.2500 0.2500 (multiplicity 4)  12 P 2.82, 4 Ta 2.95
P 0.1244 0.1244 0.6244 (multiplicity 16)  6 P 2.40-2.42

Computed properties:
The calculated total energy is -161.5 eV/cell.

***

Computed, not measured: a relaxed TaCoP crystal at the GGA-PBEsol level of DFT.

Lattice parameters (Å, degrees): 6.0479 3.5652 6.8737 90.00 90.00 90.00
With the nearest neighbours (Å) after each atom.
Space group Pnma (No. 62)
Asymmetric unit:
Ta 0.0247 0.2500 0.1728 (multiplicity 4)  5 P 2.54-2.58, 6 Co 2.75-2.80
Co 0.1480 0.2500 0.5634 (multiplicity 4)  4 P 2.23-2.31
P 0.2210 0.7500 0.3796 (multiplicity 4)  4 Co 2.23-2.31

Computed properties:
The calculated total energy is -115.4 eV/cell.

***

Looking at size of the total moment for the records above, in order, we have 0.000; 3.077; 0.000; 0.001; 3.138; 0.000; 0.001; 0.007; 0.000; 14.243; 0.008; 0.000; 0.000; 0.010; 2.645; 0.000; 0.017; 0.001; 0.000; 2.508; 1.089; 4.710; 1.355; 2.049; 0.001 μB per cell.